DFT (GGA+U) results for a geometry-optimized Li2Cr2O7 structure.

Unit cell a=6.4765 b=6.4765 c=14.1405 alpha=90.00 beta=90.00 gamma=118.34
Fractional coordinates of all 44 atoms:
Li: 0.2015 0.7985 0.8642
Li: 0.2422 0.2422 0.0000
Li: 0.2578 0.2578 0.5000
Li: 0.2985 0.7015 0.3642
Li: 0.7015 0.2985 0.6358
Li: 0.7422 0.7422 0.5000
Li: 0.7578 0.7578 0.0000
Li: 0.7985 0.2015 0.1358
Cr: 0.1704 0.3296 0.7500
Cr: 0.2490 0.7510 0.5761
Cr: 0.2510 0.7490 0.0761
Cr: 0.3296 0.1704 0.2500
Cr: 0.6704 0.8296 0.7500
Cr: 0.7490 0.2510 0.9239
Cr: 0.7510 0.2490 0.4239
Cr: 0.8296 0.6704 0.2500
O: 0.0364 0.5554 0.1445
O: 0.0554 0.5364 0.6445
O: 0.1204 0.8796 0.5181
O: 0.1324 0.8676 0.2798
O: 0.1354 0.8646 0.9990
O: 0.1927 0.2105 0.1620
O: 0.2105 0.1927 0.8380
O: 0.2895 0.3073 0.3380
O: 0.3073 0.2895 0.6620
O: 0.3646 0.6354 0.4990
O: 0.3676 0.6324 0.7798
O: 0.3796 0.6204 0.0181
O: 0.4446 0.9636 0.1445
O: 0.4636 0.9446 0.6445
O: 0.5364 0.0554 0.3555
O: 0.5554 0.0364 0.8555
O: 0.6204 0.3796 0.9819
O: 0.6324 0.3676 0.2202
O: 0.6354 0.3646 0.5010
O: 0.6927 0.7105 0.3380
O: 0.7105 0.6927 0.6620
O: 0.7895 0.8073 0.1620
O: 0.8073 0.7895 0.8380
O: 0.8646 0.1354 0.0010
O: 0.8676 0.1324 0.7202
O: 0.8796 0.1204 0.4819
O: 0.9446 0.4636 0.3555
O: 0.9636 0.4446 0.8555

Spin magnetization (μB/atom): 0.0000
E above lowest polymorph (meV per atom): 70